Ce2CdSb | PBE | optimized geometry

```
Ce2CdSb
1.0
4.0777 0.0000 0.0000
0.0000 4.0777 0.0000
0.0000 0.0000 6.7632
Ce Cd Sb
2 1 1
Cartesian
0.0000 0.0000 1.6014
0.0000 0.0000 5.1617
2.0388 2.0388 3.3816
2.0388 2.0388 0.0000
```

Calculated values
polymorph energy (0 for the lowest one) = 0 meV/atom
Fermi-level density of states = 13.31 states/eV/f.u.
size of the total moment = 2.64 Bohr magnetons per cell
space-group type = P4/mmm, No. 123

=====

CeCd2Sb2 | PBE | optimized geometry

```
CeCd2Sb2
1.0
2.2280 -13.0705 0.0000
2.2280 13.0705 0.0000
0.0000 0.0000 4.4034
Ce Cd Sb
2 4 4
Cartesian
2.2280 9.0179 3.3025
2.2280 -9.0179 1.1008
2.2280 12.0065 1.1008
2.2280 1.1506 1.1008
2.2280 -1.1506 3.3025
2.2280 -12.0065 3.3025
2.2280 6.5341 1.1008
2.2280 3.4105 3.3025
2.2280 -3.4105 1.1008
2.2280 -6.5341 3.3025
```

Calculated values
Fermi-level density of states = 5.55 states/eV/f.u.
size of the total moment = 1.32 Bohr magnetons per cell
space-group type = Cmcm, No. 63

=====

CeCd2Sb | PBE | optimized geometry

```
CeCd2Sb
1.0
4.4856 0.0000 0.0000
0.0000 4.4856 0.0000
0.0000 0.0000 5.1283
Ce Cd Sb
1 2 1
Cartesian
0.0000 0.0000 0.0000
0.0000 2.2428 2.5641
2.2428 0.0000 2.5641
2.2428 2.2428 0.0000
```

Calculated values
Fermi-level density of states = 6.40 states/eV/f.u.
size of the total moment = 0.84 Bohr magnetons per cell
space-group type = P4/mmm, No. 123

=====

Ce5CdSb3 | PBE | optimized geometry

```
Ce5CdSb3
1.0
9.4920 0.0000 0.0000
-4.7460 8.2203 0.0000
0.0000 0.0000 6.4468
Ce Cd Sb
10 2 6
Cartesian
-1.3847 2.3984 1.6117
-3.3613 5.8219 4.8351
2.7695 0.0000 1.6117
1.3847 2.3984 4.8351
0.0000 5.4802 0.0000
0.0000 5.4802 3.2234
4.7460 2.7401 0.0000
4.7460 2.7401 3.2234
6.7225 0.0000 4.8351
3.3613 5.8219 1.6117
0.0000 0.0000 0.0000
0.0000 0.0000 3.2234
-1.7463 3.0247 4.8351
-2.9997 5.1956 1.6117
3.4926 0.0000 4.8351
1.7463 3.0247 1.6117
5.9994 0.0000 1.6117
2.9997 5.1956 4.8351
```

Calculated values
Fermi-level density of states = 25.37 states/eV/f.u.
size of the total moment = 10.90 Bohr magnetons per cell
space-group type = P6_3/mcm, No. 193

=====

no.,raw total energy (eV per cell),formation energy without anion corrections (eV per atom)
1,-19.03,-0.53
2,-36.68,-0.47
3,-13.78,-0.47
4,-99.53,-0.76